Record 1
A plane-wave DFT calculation with PBE was carried out for Dy6Tl5Ag after structural relaxation.

Lattice parameters (Å, degrees): 9.7658 6.4429 6.4890 60.23 83.43 76.67
Atoms (fractional coordinates):
Ag 0.0000 0.0000 0.0000
Tl 0.5000 0.8233 0.3534
Tl 0.5000 0.1767 0.6466
Tl 0.5000 0.5000 0.0000
Tl 0.0000 0.3444 0.3112
Tl 0.0000 0.6556 0.6888
Dy 0.7439 0.7593 0.0000
Dy 0.2416 0.5964 0.3268
Dy 0.2416 0.9232 0.6732
Dy 0.2561 0.2407 0.0000
Dy 0.7584 0.4036 0.6732
Dy 0.7584 0.0768 0.3268

Total magnetization ... 0.00 μB per cell
DOS(E_F) ... 8.6 states/eV per cell
Symmetry ... C2/m
ΔE_f ... -225 meV/atom
Raw total energy ... -3.75 eV/atom
Energy above the most stable polymorph in this dataset ... 0.1103 eV per atom

Record 2
A plane-wave DFT calculation with PBE was carried out for VGe3As after structural relaxation.

Lattice parameters (Å, degrees): 4.9317 4.9317 4.9317 90.00 90.00 90.00
Each line ends with the local moment (μB).
Atoms (fractional coordinates):
Ge 0.0000 0.5000 0.0000  -0.04
Ge 0.5000 0.0000 0.0000  -0.04
Ge 0.0000 0.0000 0.5000  -0.04
V 0.5000 0.5000 0.5000  2.86
As 0.0000 0.0000 0.0000  0.01

Total magnetization ... 3.24 μB per cell
DOS(E_F) ... 8.1 states/eV per cell
Symmetry ... Pm-3m
ΔE_f ... 1041 meV/atom
Raw total energy ... -4.48 eV/atom
Energy above the most stable polymorph in this dataset ... 0.5122 eV per atom

Record 3
A plane-wave DFT calculation with PBE was carried out for Ho3TiRh4 after structural relaxation.

Lattice parameters (Å, degrees): 3.2722 3.2722 13.8852 90.00 90.00 90.00
Atoms (fractional coordinates):
Rh 0.0000 0.0000 0.8963
Rh 0.0000 0.0000 0.1037
Rh 0.0000 0.0000 0.6306
Rh 0.0000 0.0000 0.3694
Ti 0.5000 0.5000 0.0000
Ho 0.5000 0.5000 0.2415
Ho 0.5000 0.5000 0.7585
Ho 0.5000 0.5000 0.5000

Total magnetization ... 0.00 μB per cell
DOS(E_F) ... 4.4 states/eV per cell
Symmetry ... P4/mmm
ΔE_f ... -830 meV/atom
Raw total energy ... -7.21 eV/atom

Record 4
A plane-wave DFT calculation with PBE was carried out for CsNpHg2I6 after structural relaxation.

Lattice parameters (Å, degrees): 9.1428 9.1371 9.0250 90.02 120.43 120.00
Each line ends with the local moment (μB).
Atoms (fractional coordinates):
Hg 0.6391 0.3187 0.9444  -0.07
Hg 0.3541 0.6766 0.0164  -0.06
I 0.5834 0.9306 0.7506  -0.11
I 0.1590 0.3440 0.2097  -0.11
I 0.1126 0.1809 0.7503  -0.11
I 0.8335 0.6512 0.7505  -0.11
I 0.8803 0.8143 0.2098  -0.11
I 0.4098 0.0654 0.2099  -0.11
Cs 0.9974 0.4984 0.4808  0.00
Np 0.9964 0.9977 0.9801  3.07

Total magnetization ... 1.96 μB per cell
DOS(E_F) ... 8.1 states/eV per cell
Symmetry ... P1
Raw formation energy ... -0.682 eV per atom
Raw total energy ... -3.05 eV/atom